Density functional theory data (PBE with a Hubbard U) for a relaxed RbAg2MoF8 crystal.

extended XYZ file:
```
12
Lattice="-1.6719 0.2611 -5.2044 -0.6093 -4.6379 2.8404 -7.7484 2.6229 2.6208" Properties=species:S:1:pos:R:3 pbc="T T T"
Rb -3.8742 1.3115 1.3104
Ag -2.7463 -0.8883 -2.0396
Ag -7.2834 -0.8656 2.2964
Mo 0.0000 0.0000 0.0000
F -8.4695 -0.6354 -0.1883
F -7.3160 1.5779 1.0071
F -8.1614 1.7099 -1.6247
F -1.5601 -1.1185 0.4451
F -2.7137 -3.3318 -0.7504
F -1.8682 -3.4638 1.8814
F -4.6190 -0.2544 -1.4062
F -5.4107 -1.4995 1.6630
```

## Properties
- DFT total energy (eV/atom) = -4.249
- SG = P-3m1